# PBE with a Hubbard U DyMn3Tl2F12, relaxed
# M_tot   14.00 μB/f.u.
# DOS(E_F)   0.3 states/eV/f.u.
# Total DFT energy (no corrections)   -104.08 eV/f.u.
data_DyMn3Tl2F12
_cell_length_a 7.909
_cell_length_b 7.909
_cell_length_c 7.909
_cell_angle_alpha 58.79
_cell_angle_beta 58.79
_cell_angle_gamma 58.79
_space_group_name_H-M_alt 'P 1'
_space_group_IT_number 1
_space_group_name_Hall 'P 1'
loop_
_atom_site_label
_atom_site_fract_x
_atom_site_fract_y
_atom_site_fract_z
Dy1 0.000 0.000 0.000
Mn1 0.500 0.000 0.000
Mn2 0.000 0.500 0.000
Mn3 0.000 0.000 0.500
Tl1 0.684 0.684 0.684
Tl2 0.316 0.316 0.316
F1 0.305 0.305 0.947
F2 0.922 0.922 0.334
F3 0.334 0.922 0.922
F4 0.947 0.305 0.305
F5 0.922 0.334 0.922
F6 0.305 0.947 0.305
F7 0.695 0.695 0.053
F8 0.078 0.078 0.666
F9 0.666 0.078 0.078
F10 0.053 0.695 0.695
F11 0.078 0.666 0.078
F12 0.695 0.053 0.695